Density functional theory data (PBE) for an optimized crystal structure of ZnAsRh.

Summary:
- Symmetry: P-6m2
- M_tot: 0.0 μB/f.u.
- Uncorrected energy: -4.543 eV/atom
- Calculated formation energy: -0.118 eV per atom

Cell: 4.2720 4.2720 2.9804 Å, 90.00 90.00 120.00°
Last column: nearest neighbours and their distance in Å.
Positions (direct):
As 0.0000 0.0000 0.1672  3 Rh 2.47
Rh 0.6667 0.3333 0.1663  3 As 2.47
Zn 0.3333 0.6667 0.6666  6 As 2.88, 6 Rh 2.88, 2 Zn 2.98